Record 1
The following is a PBE calculation of an optimized crystal structure of Na2MgZnSb2, from the Alexandria database.

Results
DOS at the Fermi energy: 0.017 states/eV per atom
E_form (uncorrected): -0.41 eV per atom
E_tot: -2.700 eV/atom

Cell and atoms, written as POSCAR:
```
Na2MgZnSb2
1.0
-3.172 7.633 3.269
3.172 -7.633 3.269
3.172 7.633 -3.269
Na Mg Zn Sb
4 2 2 4
Cartesian
1.576 2.684 0.000 Na
1.576 -2.684 3.269 Na
1.596 10.317 0.000 Na
1.596 4.949 3.269 Na
3.172 0.000 1.634 Mg
0.000 7.633 1.634 Mg
0.000 0.000 1.634 Zn
0.000 0.000 4.903 Zn
4.822 1.720 0.000 Sb
1.650 5.913 0.000 Sb
1.521 1.720 3.269 Sb
-1.650 5.913 3.269 Sb
```

***

Record 2
The following is a PBE calculation of an optimized crystal structure of NaMgZnSb, from the Alexandria database.

Results
E_form (uncorrected): -0.18 eV per atom
E_tot: -2.257 eV/atom

Cell and atoms, written as POSCAR:
```
NaMgZnSb
1.0
0.000 3.590 3.590
3.590 0.000 3.590
3.590 3.590 0.000
Na Mg Zn Sb
1 1 1 1
Cartesian
0.000 0.000 0.000 Na
3.590 3.590 3.590 Mg
5.385 5.385 5.385 Zn
1.795 1.795 1.795 Sb
```

***

Record 3
The following is a PBE calculation of an optimized crystal structure of NaMgZr2Sb, from the Alexandria database.

Results
DOS at the Fermi energy: 1.053 states/eV per atom
E_form (uncorrected): 0.80 eV per atom
E_tot: -4.029 eV/atom

Cell and atoms, written as POSCAR:
```
NaMgZr2Sb
1.0
5.195 0.000 0.000
0.000 5.195 0.000
0.000 0.000 4.919
Na Mg Zr Sb
1 1 2 1
Cartesian
0.000 0.000 0.000 Na
0.000 0.000 2.459 Mg
0.000 2.597 2.459 Zr
2.597 0.000 2.459 Zr
2.597 2.597 0.000 Sb
```

***

Record 4
The following is a PBE calculation of an optimized crystal structure of NaMg14Sc, from the Alexandria database.

Results
DOS at the Fermi energy: 0.518 states/eV per atom
DFT formation energy: 0.013 eV per atom
E_tot: -1.860 eV/atom

Cell and atoms, written as POSCAR:
```
NaMg14Sc
1.0
6.539 0.000 0.000
0.000 6.539 0.000
0.000 0.000 8.828
Na Mg Sc
1 14 1
Cartesian
0.000 0.000 0.000 Na
0.000 0.000 4.414 Mg
0.000 3.269 0.000 Mg
0.000 3.269 4.414 Mg
1.660 1.660 2.254 Mg
1.660 1.660 6.574 Mg
1.660 4.879 2.254 Mg
1.660 4.879 6.574 Mg
3.269 0.000 0.000 Mg
3.269 0.000 4.414 Mg
3.269 3.269 4.414 Mg
4.879 1.660 2.254 Mg
4.879 1.660 6.574 Mg
4.879 4.879 2.254 Mg
4.879 4.879 6.574 Mg
3.269 3.269 0.000 Sc
```

***

Record 5
The following is a PBE calculation of an optimized crystal structure of NaMgSc3, from the Alexandria database.

Results
DOS at the Fermi energy: 0.934 states/eV per atom
DFT formation energy: 0.786 eV per atom
Distance to the lowest polymorph of the same formula: 0.00 eV/f.u.
E_tot: -3.596 eV/atom

Cell and atoms, written as POSCAR:
```
NaMgSc3
1.0
5.421 0.000 0.000
0.000 5.421 0.000
0.000 0.000 5.421
Na Mg Sc
1 1 3
Cartesian
0.000 0.000 0.000 Na
2.710 2.710 2.710 Mg
0.000 2.710 2.710 Sc
2.710 0.000 2.710 Sc
2.710 2.710 0.000 Sc
```

***

Record 6
The following is a PBE calculation of an optimized crystal structure of NaMgSc3, from the Alexandria database.

Results
DOS at the Fermi energy: 1.648 states/eV per atom
DFT formation energy: 0.974 eV per atom
Distance to the lowest polymorph of the same formula: 0.94 eV/f.u.
E_tot: -3.408 eV/atom

Cell and atoms, written as POSCAR:
```
NaMgSc3
1.0
5.244 0.000 0.000
0.000 5.244 0.000
0.000 0.000 5.244
Na Mg Sc
1 1 3
Cartesian
0.000 0.000 0.000 Na
2.622 2.622 2.622 Mg
0.000 0.000 2.622 Sc
0.000 2.622 0.000 Sc
2.622 0.000 0.000 Sc
```

***

Record 7
The following is a PBE calculation of an optimized crystal structure of NaMgSc, from the Alexandria database.

Results
DOS at the Fermi energy: 1.384 states/eV per atom
DFT formation energy: 0.264 eV per atom
E_tot: -2.818 eV/atom

Cell and atoms, written as POSCAR:
```
NaMgSc
1.0
4.465 0.000 0.000
0.000 4.465 0.000
0.000 0.000 8.764
Na Mg Sc
2 2 2
Cartesian
1.116 1.116 1.283 Na
3.348 3.348 7.481 Na
1.116 1.116 6.609 Mg
3.348 3.348 2.155 Mg
1.116 3.348 4.382 Sc
3.348 1.116 4.382 Sc
```

***

Record 8
The following is a PBE calculation of an optimized crystal structure of NaMg5Sc4, from the Alexandria database.

Results
DOS at the Fermi energy: 1.237 states/eV per atom
DFT formation energy: 0.004 eV per atom
E_tot: -3.458 eV/atom

Cell and atoms, written as POSCAR:
```
NaMg5Sc4
1.0
3.578 0.000 0.000
0.000 3.578 0.000
0.000 0.000 18.951
Na Mg Sc
1 5 4
Cartesian
0.000 0.000 0.000 Na
1.789 1.789 2.227 Mg
1.789 1.789 5.886 Mg
1.789 1.789 9.476 Mg
1.789 1.789 13.066 Mg
1.789 1.789 16.725 Mg
0.000 0.000 4.103 Sc
0.000 0.000 7.668 Sc
0.000 0.000 11.283 Sc
0.000 0.000 14.849 Sc
```